1.
DFT (PBE) results for crystalline Cu7Ni2 at its relaxed geometry.

Energy in eV/atom: -4.463
Polymorph energy (0 for the lowest one) in meV/atom: 0.0

Cell: 4.401 4.401 6.236 Å, 90.00 90.00 120.00°
Atoms (fractional coordinates):
Cu: 0.000 0.000 0.000
Cu: 0.000 0.335 0.669
Cu: 0.000 0.665 0.331
Cu: 0.335 0.000 0.669
Cu: 0.335 0.335 0.331
Cu: 0.665 0.000 0.331
Cu: 0.665 0.665 0.669
Ni: 0.333 0.667 0.000
Ni: 0.667 0.333 0.000

2.
DFT (PBE) results for crystalline Mg7InAg4 at its relaxed geometry.

Energy in eV/atom: -2.136

Cell: 7.383 7.383 8.744 Å, 122.38 122.38 41.05°
Atoms (fractional coordinates):
Mg: 0.000 0.000 0.000
Mg: 0.239 0.239 0.702
Mg: 0.294 0.294 0.123
Mg: 0.427 0.427 0.588
Mg: 0.573 0.573 0.412
Mg: 0.706 0.706 0.877
Mg: 0.761 0.761 0.298
In: 0.500 0.500 0.000
Ag: 0.051 0.051 0.722
Ag: 0.187 0.187 0.353
Ag: 0.813 0.813 0.647
Ag: 0.949 0.949 0.278

Number 1: N(E_F) 5.43 states/eV/f.u., ΔH_f (0 K) 0.07 eV/f.u., V 105 Å³/f.u.. Number 2: N(E_F) 3.67 states/eV/f.u., ΔH_f (0 K) -0.33 eV/f.u., V 257 Å³/f.u..